No. 1
This record from Alexandria via LeMat-Bulk describes MnPdO2 after structural relaxation. The functional is PBE+U.

The value obtained for the uncorrected energy is -6.54 eV/atom.

The structure in CIF format:
```
data_MnPdO2
_symmetry_space_group_name_H-M 'P n m a'
_symmetry_Int_Tables_number 62
_symmetry_space_group_name_Hall '-P 2ac 2n'
_cell_length_a 6.038
_cell_length_b 3.121
_cell_length_c 10.522
_cell_angle_alpha 90.00
_cell_angle_beta 90.00
_cell_angle_gamma 90.00
loop_
_atom_site_label
_atom_site_fract_x
_atom_site_fract_y
_atom_site_fract_z
Mn1 0.130 0.250 0.125
Pd1 0.137 0.750 0.387
O1 0.034 0.750 0.696
O2 0.182 0.750 0.975
```

No. 2
This record from Alexandria via LeMat-Bulk describes Mn2PdO4 after structural relaxation. The functional is PBE+U.

The value obtained for the uncorrected energy is -6.35 eV/atom. The value obtained for the relative energy among the computed polymorphs is 444 meV/atom.

The structure in CIF format:
```
data_Mn2PdO4
_symmetry_space_group_name_H-M 'I 4 2 2'
_symmetry_Int_Tables_number 97
_symmetry_space_group_name_Hall 'I 4 2'
_cell_length_a 5.631
_cell_length_b 5.631
_cell_length_c 5.593
_cell_angle_alpha 90.00
_cell_angle_beta 90.00
_cell_angle_gamma 90.00
loop_
_atom_site_label
_atom_site_fract_x
_atom_site_fract_y
_atom_site_fract_z
Mn1 0.000 0.500 0.000
Pd1 0.000 0.000 0.000
O1 0.168 0.332 0.750
```

Please write out number 2 again, unchanged.
This record from Alexandria via LeMat-Bulk describes Mn2PdO4 after structural relaxation. The functional is PBE+U.

The value obtained for the uncorrected energy is -6.35 eV/atom. The value obtained for the relative energy among the computed polymorphs is 444 meV/atom.

The structure in CIF format:
```
data_Mn2PdO4
_symmetry_space_group_name_H-M 'I 4 2 2'
_symmetry_Int_Tables_number 97
_symmetry_space_group_name_Hall 'I 4 2'
_cell_length_a 5.631
_cell_length_b 5.631
_cell_length_c 5.593
_cell_angle_alpha 90.00
_cell_angle_beta 90.00
_cell_angle_gamma 90.00
loop_
_atom_site_label
_atom_site_fract_x
_atom_site_fract_y
_atom_site_fract_z
Mn1 0.000 0.500 0.000
Pd1 0.000 0.000 0.000
O1 0.168 0.332 0.750
```

What did the first record say?
This record from Alexandria via LeMat-Bulk describes MnPdO2 after structural relaxation. The functional is PBE+U.

The value obtained for the uncorrected energy is -6.54 eV/atom.

The structure in CIF format:
```
data_MnPdO2
_symmetry_space_group_name_H-M 'P n m a'
_symmetry_Int_Tables_number 62
_symmetry_space_group_name_Hall '-P 2ac 2n'
_cell_length_a 6.038
_cell_length_b 3.121
_cell_length_c 10.522
_cell_angle_alpha 90.00
_cell_angle_beta 90.00
_cell_angle_gamma 90.00
loop_
_atom_site_label
_atom_site_fract_x
_atom_site_fract_y
_atom_site_fract_z
Mn1 0.130 0.250 0.125
Pd1 0.137 0.750 0.387
O1 0.034 0.750 0.696
O2 0.182 0.750 0.975
```